No. 1
A relaxed structure of Pa3Ga2Pt8. Source: the Alexandria database, functional PBE.

Structure (CIF):
```
data_Pa3Ga2Pt8
_cell_length_a 5.5015
_cell_length_b 5.5015
_cell_length_c 30.4603
_cell_angle_alpha 90.00
_cell_angle_beta 90.00
_cell_angle_gamma 120.00
_space_group_name_H-M_alt 'R -3 m'
_space_group_IT_number 166
_space_group_name_Hall '-R 3 2"'
loop_
_atom_site_label
_atom_site_fract_x
_atom_site_fract_y
_atom_site_fract_z
Pa1 0.0000 0.0000 0.0000
Pa2 0.0000 0.0000 0.2274
Ga1 0.0000 0.0000 0.3955
Pt1 0.0000 0.0000 0.3161
Pt2 0.0064 0.5032 0.7948
```

=====

No. 2
A relaxed structure of Pa2GaPt4. Source: the Alexandria database, functional PBE.

Structure (CIF):
```
data_Pa2GaPt4
_cell_length_a 4.678
_cell_length_b 4.678
_cell_length_c 14.189
_cell_angle_alpha 90.00
_cell_angle_beta 90.00
_cell_angle_gamma 90.00
_space_group_name_H-M_alt 'I 4/m m m'
_space_group_IT_number 139
_space_group_name_Hall '-I 4 2'
loop_
_atom_site_label
_atom_site_fract_x
_atom_site_fract_y
_atom_site_fract_z
Pa1 0.000 0.000 0.140
Ga1 0.000 0.000 0.500
Pt1 0.000 0.000 0.322
Pt2 0.000 0.500 0.000
```

=====

No. 3
A relaxed structure of Pa6Ga2Pt. Source: the Alexandria database, functional PBE.

Structure (CIF):
```
data_Pa6Ga2Pt
_cell_length_a 5.812
_cell_length_b 5.812
_cell_length_c 15.232
_cell_angle_alpha 90.00
_cell_angle_beta 90.00
_cell_angle_gamma 90.00
_space_group_name_H-M_alt 'P 42/m n m'
_space_group_IT_number 136
_space_group_name_Hall '-P 4n 2n'
loop_
_atom_site_label
_atom_site_fract_x
_atom_site_fract_y
_atom_site_fract_z
Pa1 0.161 0.161 0.166
Pa2 0.163 0.163 0.500
Ga1 0.000 0.000 0.333
Pt1 0.000 0.000 0.000
```

=====

No. 4
A relaxed structure of Pa4Ga3Pt. Source: the Alexandria database, functional PBE.

Structure (CIF):
```
data_Pa4Ga3Pt
_cell_length_a 4.015
_cell_length_b 4.140
_cell_length_c 10.923
_cell_angle_alpha 90.00
_cell_angle_beta 90.00
_cell_angle_gamma 90.00
_space_group_name_H-M_alt 'P m m 2'
_space_group_IT_number 25
loop_
_space_group_symop_operation_xyz
'x,y,z'
'-x,-y,z'
'-x,y,z'
'x,-y,z'
loop_
_atom_site_label
_atom_site_fract_x
_atom_site_fract_y
_atom_site_fract_z
Pa1 0.000 0.000 0.000
Pa2 0.000 0.500 0.496
Pa3 0.500 0.000 0.295
Pa4 0.500 0.500 0.795
Ga1 0.000 0.000 0.721
Ga2 0.000 0.500 0.222
Ga3 0.500 0.000 0.572
Pt1 0.500 0.500 0.064
```

=====

No. 5
A relaxed structure of PaGa2Pt4. Source: the Alexandria database, functional PBE.

Structure (CIF):
```
data_PaGa2Pt4
_cell_length_a 4.2303
_cell_length_b 4.2303
_cell_length_c 24.7967
_cell_angle_alpha 90.00
_cell_angle_beta 90.00
_cell_angle_gamma 120.00
_space_group_name_H-M_alt 'R -3 m'
_space_group_IT_number 166
_space_group_name_Hall '-R 3 2"'
loop_
_atom_site_label
_atom_site_fract_x
_atom_site_fract_y
_atom_site_fract_z
Pa1 0.0000 0.0000 0.0000
Ga1 0.0000 0.0000 0.2359
Pt1 0.0000 0.0000 0.1328
Pt2 0.0000 0.0000 0.3994
```

=====

No. 6
A relaxed structure of Pa3GaPt2. Source: the Alexandria database, functional PBE.

Structure (CIF):
```
data_Pa3GaPt2
_cell_length_a 7.4701
_cell_length_b 7.4701
_cell_length_c 18.3160
_cell_angle_alpha 90.00
_cell_angle_beta 90.00
_cell_angle_gamma 120.00
_space_group_name_H-M_alt 'R -3 c'
_space_group_IT_number 167
_space_group_name_Hall '-R 3 2"c'
loop_
_atom_site_label
_atom_site_fract_x
_atom_site_fract_y
_atom_site_fract_z
Pa1 0.0000 0.2998 0.2500
Ga1 0.0000 0.0000 0.0000
Pt1 0.0000 0.0000 0.1502
```

=====

No. 7
A relaxed structure of Pa4GaPt. Source: the Alexandria database, functional PBE.

Structure (CIF):
```
data_Pa4GaPt
_cell_length_a 6.986
_cell_length_b 6.986
_cell_length_c 5.684
_cell_angle_alpha 90.00
_cell_angle_beta 90.00
_cell_angle_gamma 90.00
_space_group_name_H-M_alt 'P 4/m c c'
_space_group_IT_number 124
_space_group_name_Hall '-P 4 2c'
loop_
_atom_site_label
_atom_site_fract_x
_atom_site_fract_y
_atom_site_fract_z
Pa1 0.138 0.357 0.000
Ga1 0.500 0.500 0.250
Pt1 0.000 0.000 0.250
```

=====

No. 8
A relaxed structure of Pa3Ga2Pt4. Source: the Alexandria database, functional PBE.

Structure (CIF):
```
data_Pa3Ga2Pt4
_cell_length_a 3.585
_cell_length_b 9.858
_cell_length_c 10.689
_cell_angle_alpha 90.00
_cell_angle_beta 90.00
_cell_angle_gamma 90.00
_space_group_name_H-M_alt 'I m m m'
_space_group_IT_number 71
_space_group_name_Hall '-I 2 2'
loop_
_atom_site_label
_atom_site_fract_x
_atom_site_fract_y
_atom_site_fract_z
Pa1 0.000 0.000 0.000
Pa2 0.000 0.163 0.500
Ga1 0.000 0.500 0.210
Pt1 0.000 0.190 0.175
```

=====

No. 9
A relaxed structure of PaGa2Pt. Source: the Alexandria database, functional PBE.

Structure (CIF):
```
data_PaGa2Pt
_cell_length_a 3.224
_cell_length_b 3.224
_cell_length_c 7.081
_cell_angle_alpha 90.00
_cell_angle_beta 90.00
_cell_angle_gamma 90.00
_space_group_name_H-M_alt 'P 4/m m m'
_space_group_IT_number 123
_space_group_name_Hall '-P 4 2'
loop_
_atom_site_label
_atom_site_fract_x
_atom_site_fract_y
_atom_site_fract_z
Pa1 0.000 0.000 0.000
Ga1 0.500 0.500 0.295
Pt1 0.000 0.000 0.500
```

=====

No. 10
A relaxed structure of PaGa2Pt6. Source: the Alexandria database, functional PBE.

Structure (CIF):
```
data_PaGa2Pt6
_cell_length_a 7.925
_cell_length_b 8.848
_cell_length_c 9.026
_cell_angle_alpha 90.00
_cell_angle_beta 90.00
_cell_angle_gamma 90.00
_space_group_name_H-M_alt 'I m m m'
_space_group_IT_number 71
_space_group_name_Hall '-I 2 2'
loop_
_atom_site_label
_atom_site_fract_x
_atom_site_fract_y
_atom_site_fract_z
Pa1 0.000 0.000 0.000
Pa2 0.000 0.000 0.500
Ga1 0.000 0.364 0.000
Ga2 0.000 0.500 0.362
Pt1 0.000 0.238 0.251
Pt2 0.211 0.294 0.500
Pt3 0.221 0.000 0.259
```

=====

No. 11
A relaxed structure of Pa3Ga2Pt4. Source: the Alexandria database, functional PBE.

Structure (CIF):
```
data_Pa3Ga2Pt4
_cell_length_a 10.557
_cell_length_b 4.488
_cell_length_c 8.523
_cell_angle_alpha 90.00
_cell_angle_beta 118.78
_cell_angle_gamma 90.00
_space_group_name_H-M_alt 'C 1 2/m 1'
_space_group_IT_number 12
loop_
_space_group_symop_operation_xyz
'x,y,z'
'-x,-y,-z'
'-x,y,-z'
'x,-y,z'
'x+1/2,y+1/2,z'
'-x+1/2,-y+1/2,-z'
'-x+1/2,y+1/2,-z'
'x+1/2,-y+1/2,z'
loop_
_atom_site_label
_atom_site_fract_x
_atom_site_fract_y
_atom_site_fract_z
Pa1 0.000 0.000 0.000
Pa2 0.139 0.500 0.679
Ga1 0.154 0.500 0.322
Pt1 0.070 0.000 0.391
Pt2 0.215 0.500 0.069
```

=====

No. 12
A relaxed structure of Pa3Ga4Pt4. Source: the Alexandria database, functional PBE.

Structure (CIF):
```
data_Pa3Ga4Pt4
_cell_length_a 4.171
_cell_length_b 7.073
_cell_length_c 14.350
_cell_angle_alpha 90.00
_cell_angle_beta 90.00
_cell_angle_gamma 90.00
_space_group_name_H-M_alt 'I m m m'
_space_group_IT_number 71
_space_group_name_Hall '-I 2 2'
loop_
_atom_site_label
_atom_site_fract_x
_atom_site_fract_y
_atom_site_fract_z
Pa1 0.000 0.000 0.000
Pa2 0.000 0.500 0.123
Ga1 0.000 0.305 0.329
Pt1 0.000 0.000 0.219
Pt2 0.000 0.201 0.500
```

=====

No. 13
A relaxed structure of PaGa2Pt2. Source: the Alexandria database, functional PBE.

Structure (CIF):
```
data_PaGa2Pt2
_cell_length_a 3.958
_cell_length_b 3.958
_cell_length_c 12.080
_cell_angle_alpha 90.00
_cell_angle_beta 90.00
_cell_angle_gamma 90.00
_space_group_name_H-M_alt 'I 4/m m m'
_space_group_IT_number 139
_space_group_name_Hall '-I 4 2'
loop_
_atom_site_label
_atom_site_fract_x
_atom_site_fract_y
_atom_site_fract_z
Pa1 0.000 0.000 0.000
Ga1 0.000 0.500 0.250
Pt1 0.000 0.000 0.392
```

=====

No. 14
A relaxed structure of PaGa2Pt3. Source: the Alexandria database, functional PBE.

Structure (CIF):
```
data_PaGa2Pt3
_cell_length_a 5.161
_cell_length_b 10.053
_cell_length_c 4.271
_cell_angle_alpha 90.00
_cell_angle_beta 90.00
_cell_angle_gamma 90.00
_space_group_name_H-M_alt 'P m m n'
_space_group_IT_number 59
loop_
_space_group_symop_operation_xyz
'x,y,z'
'-x,-y,-z'
'-x+1/2,-y+1/2,z'
'x+1/2,y+1/2,-z'
'x+1/2,-y,-z'
'-x+1/2,y,z'
'-x,y+1/2,-z'
'x,-y+1/2,z'
loop_
_atom_site_label
_atom_site_fract_x
_atom_site_fract_y
_atom_site_fract_z
Pa1 0.250 0.250 0.134
Ga1 0.250 0.594 0.165
Pt1 0.250 0.053 0.662
Pt2 0.250 0.750 0.659
```

=====

No. 15
A relaxed structure of PaGa2Pt4. Source: the Alexandria database, functional PBE.

Structure (CIF):
```
data_PaGa2Pt4
_cell_length_a 16.475
_cell_length_b 4.100
_cell_length_c 7.428
_cell_angle_alpha 90.00
_cell_angle_beta 90.00
_cell_angle_gamma 90.00
_space_group_name_H-M_alt 'P n m a'
_space_group_IT_number 62
loop_
_space_group_symop_operation_xyz
'x,y,z'
'-x,-y,-z'
'-x+1/2,-y,z+1/2'
'x+1/2,y,-z+1/2'
'x+1/2,-y+1/2,-z+1/2'
'-x+1/2,y+1/2,z+1/2'
'-x,y+1/2,-z'
'x,-y+1/2,z'
loop_
_atom_site_label
_atom_site_fract_x
_atom_site_fract_y
_atom_site_fract_z
Pa1 0.151 0.250 0.086
Ga1 0.011 0.750 0.253
Ga2 0.179 0.250 0.631
Pt1 0.049 0.750 0.918
Pt2 0.053 0.250 0.431
Pt3 0.172 0.750 0.380
Pt4 0.212 0.750 0.836
```

=====

No. 16
A relaxed structure of PaGa2Pt. Source: the Alexandria database, functional PBE.

Structure (CIF):
```
data_PaGa2Pt
_cell_length_a 6.608
_cell_length_b 4.401
_cell_length_c 10.492
_cell_angle_alpha 90.00
_cell_angle_beta 90.00
_cell_angle_gamma 90.00
_space_group_name_H-M_alt 'A m m 2'
_space_group_IT_number 38
loop_
_space_group_symop_operation_xyz
'x,y,z'
'-x,-y,z'
'-x,y,z'
'x,-y,z'
'x,y+1/2,z+1/2'
'-x,-y+1/2,z+1/2'
'-x,y+1/2,z+1/2'
'x,-y+1/2,z+1/2'
loop_
_atom_site_label
_atom_site_fract_x
_atom_site_fract_y
_atom_site_fract_z
Pa1 0.000 0.000 0.000
Pa2 0.500 0.000 0.183
Ga1 0.000 0.000 0.296
Ga2 0.302 0.000 0.481
Ga3 0.500 0.000 0.895
Pt1 0.207 0.000 0.719
```

=====

No. 17
A relaxed structure of Pa3Ga4Pt2. Source: the Alexandria database, functional PBE.

Structure (CIF):
```
data_Pa3Ga4Pt2
_cell_length_a 10.527
_cell_length_b 4.485
_cell_length_c 8.397
_cell_angle_alpha 90.00
_cell_angle_beta 114.44
_cell_angle_gamma 90.00
_space_group_name_H-M_alt 'C 1 2/m 1'
_space_group_IT_number 12
loop_
_space_group_symop_operation_xyz
'x,y,z'
'-x,-y,-z'
'-x,y,-z'
'x,-y,z'
'x+1/2,y+1/2,z'
'-x+1/2,-y+1/2,-z'
'-x+1/2,y+1/2,-z'
'x+1/2,-y+1/2,z'
loop_
_atom_site_label
_atom_site_fract_x
_atom_site_fract_y
_atom_site_fract_z
Pa1 0.000 0.000 0.000
Pa2 0.184 0.500 0.657
Ga1 0.020 0.000 0.363
Ga2 0.222 0.500 0.055
Pt1 0.100 0.500 0.278
```

=====

No. 18
A relaxed structure of PaGa2Pt8. Source: the Alexandria database, functional PBE.

Structure (CIF):
```
data_PaGa2Pt8
_cell_length_a 8.006
_cell_length_b 4.465
_cell_length_c 10.639
_cell_angle_alpha 90.00
_cell_angle_beta 97.48
_cell_angle_gamma 90.00
_space_group_name_H-M_alt 'C 1 2/m 1'
_space_group_IT_number 12
loop_
_space_group_symop_operation_xyz
'x,y,z'
'-x,-y,-z'
'-x,y,-z'
'x,-y,z'
'x+1/2,y+1/2,z'
'-x+1/2,-y+1/2,-z'
'-x+1/2,y+1/2,-z'
'x+1/2,-y+1/2,z'
loop_
_atom_site_label
_atom_site_fract_x
_atom_site_fract_y
_atom_site_fract_z
Pa1 0.000 0.000 0.000
Ga1 0.114 0.500 0.619
Pt1 0.038 0.000 0.271
Pt2 0.142 0.500 0.858
Pt3 0.187 0.500 0.144
Pt4 0.213 0.500 0.407
```

=====

No. 19
A relaxed structure of Pa2Ga3Pt5. Source: the Alexandria database, functional PBE.

Structure (CIF):
```
data_Pa2Ga3Pt5
_cell_length_a 11.188
_cell_length_b 11.588
_cell_length_c 5.727
_cell_angle_alpha 90.00
_cell_angle_beta 90.00
_cell_angle_gamma 90.00
_space_group_name_H-M_alt 'I b a m'
_space_group_IT_number 72
_space_group_name_Hall '-I 2 2c'
loop_
_atom_site_label
_atom_site_fract_x
_atom_site_fract_y
_atom_site_fract_z
Pa1 0.126 0.225 0.000
Ga1 0.000 0.500 0.250
Ga2 0.138 0.118 0.500
Pt1 0.000 0.000 0.250
Pt2 0.106 0.327 0.500
Pt3 0.227 0.500 0.250
```

=====

No. 20
A relaxed structure of PaGa2Pt. Source: the Alexandria database, functional PBE.

Structure (CIF):
```
data_PaGa2Pt
_cell_length_a 4.151
_cell_length_b 4.151
_cell_length_c 4.519
_cell_angle_alpha 90.00
_cell_angle_beta 90.00
_cell_angle_gamma 90.00
_space_group_name_H-M_alt 'P 4/m m m'
_space_group_IT_number 123
_space_group_name_Hall '-P 4 2'
loop_
_atom_site_label
_atom_site_fract_x
_atom_site_fract_y
_atom_site_fract_z
Pa1 0.000 0.000 0.000
Ga1 0.000 0.500 0.500
Pt1 0.500 0.500 0.000
```

=====

We obtain volume values of 20.5, 22.2, 28.6, 22.7, 18.3, 24.6, 23.1, 21.0, 18.4, 17.6, 19.7, 19.2, 18.9, 18.5, 17.9, 19.1, 20.0, 17.1, 18.6, 19.5 Å³/atom for the records listed above, in that order.
We obtain ΔE_f values of -675, -422, 312, -343, -767, -459, -380, -578, -438, -507, -951, -855, -768, -731, -795, -583, -662, -645, -799, -522 meV/atom for the records listed above, in that order.